# CsBrN2F (PBE, relaxed)
data_CsBrN2F
_chemical_formula_sum 'Cs1 Br1 N2 F1'
_symmetry_space_group_name_H-M 'P 1'
_symmetry_Int_Tables_number 1
_cell_length_a 5.001
_cell_length_b 5.001
_cell_length_c 4.957
_cell_angle_alpha 90.00
_cell_angle_beta 90.00
_cell_angle_gamma 90.00
loop_
_symmetry_equiv_pos_as_xyz
'x,y,z'
loop_
_atom_site_label
_atom_site_type_symbol
_atom_site_fract_x
_atom_site_fract_y
_atom_site_fract_z
F1 F 0.000 0.000 0.500
N1 N 0.500 0.000 0.000
N2 N 0.000 0.500 0.000
Br1 Br 0.500 0.500 0.500
Cs1 Cs 0.000 0.000 0.000
# * space group: P4/mmm, No. 123
# * excess energy over the best structure of this formula in the dataset: 870.7 meV per atom